A plane-wave DFT calculation with GGA-PBE was carried out for a geometry-optimized KCrBi2 structure.

SG ... I-42d, No. 122
M_tot ... 3.3 μB per formula unit
Energy of formation from the pure elements ... 252 meV per atom
E above lowest polymorph ... 0.00 kJ per mole of atoms
N(E_F) ... 2.15 states/eV/f.u.

a = 6.034 Å, b = 6.034 Å, c = 9.963 Å
α = 72.37°, β = 72.37°, γ = 90.00°
Each line ends with the local moment (μB).
Fractional positions:
1 Cr 0.000 0.000 0.000  3.51
2 Cr 0.750 0.250 0.500  3.51
3 K 0.250 0.750 0.500  -0.01
4 K 0.500 0.500 0.000  -0.01
5 Bi 0.964 0.625 0.250  -0.27
6 Bi 0.786 0.125 0.250  -0.27
7 Bi 0.375 0.214 0.750  -0.21
8 Bi 0.875 0.036 0.750  -0.20